[1]
Here is a relaxed structure of Na2ZrTlCl8 from Alexandria via LeMat-Bulk. Energies are from PBE.

Summary:
**E**: -3.875 eV per atom

Cell: 6.2826 8.7049 6.4427 Å, 90.00 94.91 90.00°
Closest atoms and distances in Å follow each position.
Space group P2/m (No. 10)
Asymmetric unit:
Na  0.0000  0.2413  0.0000 [2 per cell]  6 Cl 2.76-2.98
Zr  0.5000  0.0000  0.5000 [1 per cell]  6 Cl 2.49-2.50
Tl  0.5000  0.5000  0.5000 [1 per cell]  2 Cl 2.71
Cl  0.1915  0.5000  0.1797 [2 per cell]  1 Tl 2.71, 2 Na 2.76
Cl  0.2349  0.0000  0.1905 [2 per cell]  1 Zr 2.49
Cl  0.2947  0.2067  0.6639 [4 per cell]  1 Zr 2.50

[2]
Here is a relaxed structure of ZrAl2C from Alexandria via LeMat-Bulk. Energies are from PBE.

Summary:
**DFT formation energy**: 0.054 eV/atom

Cell: 6.9958 6.9958 4.8632 Å, 90.00 90.00 90.00°
Closest atoms and distances in Å follow each position.
Space group I-42d (No. 122)
Asymmetric unit:
Zr  0.0000  0.0000  0.0000 [4 per cell]  2 C 2.43
Al  0.1560  0.2500  0.6250 [8 per cell]  2 C 2.15
C  0.0000  0.0000  0.5000 [4 per cell]  4 Al 2.15

[3]
Here is a relaxed structure of SbOF2 from Alexandria via LeMat-Bulk. Energies are from PBE.

Summary:
**E**: -4.147 eV per atom

Cell: 5.7097 5.7097 5.7097 Å, 90.00 90.00 90.00°
Closest atoms and distances in Å follow each position.
Space group Fm-3m (No. 225)
Asymmetric unit:
Sb  0.0000  0.0000  0.0000 [4 per cell]  8 F 2.47
O  0.0000  0.0000  0.5000 [4 per cell]  8 F 2.47
F  0.2500  0.2500  0.2500 [8 per cell]  4 O 2.47, 4 Sb 2.47

no.,density of states at the Fermi level (states/eV/atom)
1,0.16
2,0.45
3,0.70